First-principles (PBE-GGA) data for a relaxed LiSbHPd2 crystal, as listed in Alexandria.

The structure in POSCAR format:
```
LiSbHPd2
1.0
4.998 0.000 0.000
0.000 4.998 0.000
0.000 0.000 5.455
Li Sb H Pd
1 1 1 2
direct
0.000 0.000 0.000
0.000 0.000 0.500
0.500 0.500 0.000
0.000 0.500 0.500
0.500 0.000 0.500
```

- Spin magnetization: 1.13 Bohr magnetons per cell
- D(E_F): 1.07 states/eV per atom
- Energy above the lowest structure with this stoichiometry: 1.1279 eV/atom
- Uncorrected energy: -3.2517 eV/atom